Record 1
VASP calculation (PBE-GGA) on TaMnSb2Te after structural relaxation.

Unit cell a=5.4052 b=5.4052 c=5.3491 alpha=90.00 beta=90.00 gamma=90.00
With the nearest neighbours (Å) after each atom.
Atoms (fractional coordinates):
Sb  0.0000  0.5000  0.0000  2 Ta 2.70
Sb  0.5000  0.0000  0.0000  2 Ta 2.70
Te  0.0000  0.0000  0.5000  2 Ta 2.67
Mn  0.5000  0.5000  0.5000  8 Sb 3.80, 4 Te 3.82
Ta  0.0000  0.0000  0.0000  2 Te 2.67, 4 Sb 2.70

Values from the calculation:
Energy above the lowest structure with this stoichiometry   0.000 eV/f.u.
Total DFT energy (no corrections)   -5.762 eV per atom
ΔE_f (raw)   0.720 eV per atom
D(E_F)   3.1 states/eV per cell

***

Record 2
VASP calculation (PBE-GGA) on TeBrCl2 after structural relaxation.

Unit cell a=4.0751 b=4.0751 c=9.5448 alpha=90.00 beta=90.00 gamma=125.59
With the nearest neighbours (Å) after each atom.
Atoms (fractional coordinates):
Te  0.0000  0.0000  0.4995  2 Cl 2.65, 2 Br 2.75
Br  0.5000  0.5000  0.7118  2 Te 2.75
Cl  0.0000  0.0000  0.9863  2 Br 3.21, 2 Cl 3.55
Cl  0.5000  0.5000  0.3026  2 Te 2.65

Values from the calculation:
Energy above the lowest structure with this stoichiometry   1.693 eV/f.u.
Total DFT energy (no corrections)   -2.107 eV per atom
ΔE_f (raw)   0.020 eV per atom
D(E_F)   3.1 states/eV per cell

***

Record 3
VASP calculation (PBE-GGA) on TiV3N after structural relaxation.

Unit cell a=4.2055 b=5.0828 c=6.8948 alpha=70.93 beta=90.00 gamma=114.44
With the nearest neighbours (Å) after each atom.
Atoms (fractional coordinates):
Ti  0.3636  0.7272  0.6983  1 N 2.06
Ti  0.6364  0.2728  0.3017  1 N 2.06
V  0.1050  0.2099  0.0973  2 N 1.93-1.99
V  0.8950  0.7901  0.9027  2 N 1.93-1.99
V  0.6277  0.2555  0.8152  2 N 2.10
V  0.3723  0.7445  0.1848  2 N 2.10
V  0.8722  0.7444  0.4732  1 N 1.94
V  0.1278  0.2556  0.5268  1 N 1.94
N  0.1254  0.2508  0.8093  5 V 1.93-2.10, 1 Ti 2.06
N  0.8746  0.7492  0.1907  5 V 1.93-2.10, 1 Ti 2.06

Values from the calculation:
Energy above the lowest structure with this stoichiometry   0.000 eV/f.u.
Total DFT energy (no corrections)   -9.284 eV per atom
ΔE_f (raw)   -0.569 eV per atom
D(E_F)   9.9 states/eV per cell

***

Record 4
VASP calculation (PBE-GGA) on La2ErAl12Co3 after structural relaxation.

Unit cell a=7.9716 b=7.9716 c=7.9716 alpha=63.99 beta=63.99 gamma=63.99
With the nearest neighbours (Å) after each atom.
Atoms (fractional coordinates):
La  0.5826  0.5826  0.5826  6 Al 3.11-3.35, 1 La 3.12
La  0.4174  0.4174  0.4174  6 Al 3.11-3.35, 1 La 3.12
Er  0.0000  0.0000  0.0000  12 Al 3.22-3.39
Al  0.2742  0.2742  0.9079  2 Co 2.20
Al  0.8399  0.8399  0.4702  1 Co 2.30
Al  0.4702  0.8399  0.8399  1 Co 2.30
Al  0.9079  0.2742  0.2742  2 Co 2.20
Al  0.8399  0.4702  0.8399  1 Co 2.30
Al  0.2742  0.9079  0.2742  2 Co 2.20
Al  0.7258  0.7258  0.0921  2 Co 2.20
Al  0.1601  0.1601  0.5298  1 Co 2.30
Al  0.5298  0.1601  0.1601  1 Co 2.30
Al  0.0921  0.7258  0.7258  2 Co 2.20
Al  0.1601  0.5298  0.1601  1 Co 2.30
Al  0.7258  0.0921  0.7258  2 Co 2.20
Co  0.5000  0.0000  0.0000  6 Al 2.20-2.30
Co  0.0000  0.5000  0.0000  6 Al 2.20-2.30
Co  0.0000  0.0000  0.5000  6 Al 2.20-2.30

Values from the calculation:
Total DFT energy (no corrections)   -4.489 eV per atom
D(E_F)   11.6 states/eV per cell

***

Record 5
VASP calculation (PBE-GGA) on InCuTe2 after structural relaxation.

Unit cell a=4.4611 b=4.4611 c=6.2861 alpha=90.00 beta=90.00 gamma=90.00
With the nearest neighbours (Å) after each atom.
Atoms (fractional coordinates):
Te  0.0000  0.5000  0.2160  2 Cu 2.61, 2 In 2.86
Te  0.5000  0.0000  0.7840  2 Cu 2.61, 2 In 2.86
Cu  0.0000  0.0000  0.0000  4 Te 2.61
In  0.5000  0.5000  0.5000  4 Te 2.86

Values from the calculation:
Total DFT energy (no corrections)   -3.550 eV per atom
ΔE_f (raw)   -0.271 eV per atom
D(E_F)   0.3 states/eV per cell

***

Record 6
VASP calculation (PBE-GGA) on ErMgSc2Pt2 after structural relaxation.

Unit cell a=4.7307 b=4.7307 c=6.2835 alpha=90.00 beta=90.00 gamma=120.00
With the nearest neighbours (Å) after each atom.
Atoms (fractional coordinates):
Er  0.0000  0.0000  0.0000  6 Pt 3.13, 2 Mg 3.14, 6 Sc 3.38
Mg  0.0000  0.0000  0.5000  6 Sc 2.96, 2 Er 3.14, 6 Pt 3.17
Sc  0.3333  0.6667  0.6835  4 Pt 2.76-2.77, 3 Mg 2.96
Sc  0.6667  0.3333  0.3165  4 Pt 2.76-2.77, 3 Mg 2.96
Pt  0.3333  0.6667  0.2445  4 Sc 2.76-2.77
Pt  0.6667  0.3333  0.7555  4 Sc 2.76-2.77

Values from the calculation:
Total DFT energy (no corrections)   -6.079 eV per atom
D(E_F)   4.0 states/eV per cell

***

Record 7
VASP calculation (PBE-GGA) on Cd4P12I after structural relaxation.

Unit cell a=7.7653 b=7.7654 c=7.7653 alpha=109.47 beta=109.47 gamma=109.47
With the nearest neighbours (Å) after each atom.
Atoms (fractional coordinates):
Cd  0.0000  0.5000  0.0000  6 P 2.77
Cd  0.0000  0.0000  0.5000  6 P 2.77
Cd  0.5000  0.0000  0.0000  6 P 2.77
Cd  0.5000  0.5000  0.5000  6 P 2.77
P  0.7446  0.1212  0.6234  2 P 2.17-2.21
P  0.8788  0.3766  0.2554  2 P 2.17-2.21
P  0.3766  0.4979  0.1212  2 P 2.17-2.21
P  0.1212  0.3766  0.4979  2 P 2.17-2.21
P  0.6234  0.5021  0.8788  2 P 2.17-2.21
P  0.1212  0.6234  0.7446  2 P 2.17-2.21
P  0.6234  0.7446  0.1212  2 P 2.17-2.21
P  0.3766  0.2554  0.8788  2 P 2.17-2.21
P  0.8788  0.6234  0.5021  2 P 2.17-2.21
P  0.4979  0.1212  0.3766  2 P 2.17-2.21
P  0.5021  0.8788  0.6234  2 P 2.17-2.21
P  0.2554  0.8788  0.3766  2 P 2.17-2.21
I  0.0000  0.0000  0.0000  12 P 3.55, 8 Cd 3.88

Values from the calculation:
Total DFT energy (no corrections)   -4.118 eV per atom
ΔE_f (raw)   0.007 eV per atom
D(E_F)   6.5 states/eV per cell

***

Record 8
VASP calculation (PBE-GGA) on CrTe2As after structural relaxation.

Unit cell a=3.9224 b=7.9292 c=3.9167 alpha=90.00 beta=90.00 gamma=90.00
With the nearest neighbours (Å) after each atom.
Atoms (fractional coordinates):
As  0.5000  0.0000  0.5000  4 Te 2.77
Cr  0.0000  0.5000  0.5000  4 Te 2.77
Te  0.0000  0.0000  0.0000  4 As 2.77
Te  0.5000  0.5000  0.0000  4 Cr 2.77

Values from the calculation:
Total DFT energy (no corrections)   -4.765 eV per atom
ΔE_f (raw)   0.374 eV per atom
D(E_F)   3.6 states/eV per cell

***

Record 9
VASP calculation (PBE-GGA) on LaTeAu2 after structural relaxation.

Unit cell a=4.1019 b=4.1019 c=6.2840 alpha=90.00 beta=90.00 gamma=90.00
With the nearest neighbours (Å) after each atom.
Atoms (fractional coordinates):
Au  0.0000  0.0000  0.0559  1 La 2.87, 4 Au 3.05
Au  0.5000  0.5000  0.2051  2 Te 3.01-3.28, 4 Au 3.05
La  0.0000  0.0000  0.5125  1 Au 2.87, 4 Te 3.20
Te  0.5000  0.5000  0.7265  2 Au 3.01-3.28, 4 La 3.20

Values from the calculation:
Total DFT energy (no corrections)   -4.268 eV per atom
ΔE_f (raw)   -0.612 eV per atom
D(E_F)   1.8 states/eV per cell

***

Record 10
VASP calculation (PBE-GGA) on AlHgPb2 after structural relaxation.

Unit cell a=6.1222 b=6.1222 c=6.1222 alpha=136.39 beta=136.39 gamma=63.37
With the nearest neighbours (Å) after each atom.
Atoms (fractional coordinates):
Pb  0.0000  0.0000  0.0000  4 Al 3.22, 4 Hg 3.46, 4 Pb 3.46
Pb  0.2500  0.7500  0.5000  4 Hg 3.22, 4 Al 3.46, 4 Pb 3.46
Hg  0.7500  0.2500  0.5000  8 Pb 3.22-3.46, 4 Al 3.46
Al  0.5000  0.5000  0.0000  8 Pb 3.22-3.46, 4 Hg 3.46

Values from the calculation:
Energy above the lowest structure with this stoichiometry   0.214 eV/f.u.
Total DFT energy (no corrections)   -2.690 eV per atom
D(E_F)   1.9 states/eV per cell

***

Record 11
VASP calculation (PBE-GGA) on DyY2Tm6Sc3 after structural relaxation.

Unit cell a=5.9900 b=5.9900 c=11.4023 alpha=95.02 beta=95.02 gamma=119.96
With the nearest neighbours (Å) after each atom.
Atoms (fractional coordinates):
Dy  0.0000  0.0000  0.0000  6 Y 3.46, 6 Tm 3.53
Y  0.3333  0.6667  0.0000  3 Y 3.46, 3 Dy 3.46, 6 Tm 3.53-3.54
Y  0.6667  0.3333  0.0000  3 Y 3.46, 3 Dy 3.46, 6 Tm 3.53-3.54
Tm  0.9132  0.5804  0.7402  3 Sc 3.35-3.36, 6 Tm 3.45-3.46, 1 Dy 3.53, 2 Y 3.53-3.54
Tm  0.7541  0.7541  0.2597  3 Sc 3.35-3.36, 6 Tm 3.45-3.46, 1 Dy 3.53, 2 Y 3.54
Tm  0.0868  0.4196  0.2598  3 Sc 3.35-3.36, 6 Tm 3.45-3.46, 1 Dy 3.53, 2 Y 3.53-3.54
Tm  0.5804  0.9132  0.7402  3 Sc 3.35-3.36, 6 Tm 3.45-3.46, 1 Dy 3.53, 2 Y 3.53-3.54
Tm  0.2459  0.2459  0.7403  3 Sc 3.35-3.36, 6 Tm 3.45-3.46, 1 Dy 3.53, 2 Y 3.54
Tm  0.4196  0.0868  0.2598  3 Sc 3.35-3.36, 6 Tm 3.45-3.46, 1 Dy 3.53, 2 Y 3.53-3.54
Sc  0.1667  0.8333  0.5000  6 Tm 3.35-3.36, 6 Sc 3.46
Sc  0.8333  0.1667  0.5000  6 Tm 3.35-3.36, 6 Sc 3.46
Sc  0.5000  0.5000  0.5000  6 Tm 3.35-3.36, 6 Sc 3.46

Values from the calculation:
Total DFT energy (no corrections)   -5.232 eV per atom
D(E_F)   19.0 states/eV per cell

***

Record 12
VASP calculation (PBE-GGA) on BaSnIr after structural relaxation.

Unit cell a=5.0009 b=4.5650 c=4.5650 alpha=120.00 beta=90.00 gamma=90.00
With the nearest neighbours (Å) after each atom.
Atoms (fractional coordinates):
Ir  0.1687  0.6667  0.3333  3 Sn 2.64
Ba  0.6653  0.3333  0.6667  6 Ir 3.62-3.64, 6 Sn 3.63-3.64
Sn  0.1659  0.0000  0.0000  3 Ir 2.64

Values from the calculation:
Total DFT energy (no corrections)   -5.271 eV per atom
D(E_F)   3.1 states/eV per cell

***

Number 3 is which compound? TiV3N

***

total DFT energy (no corrections) of number 10 (AlHgPb2)? -2.690 eV per atom

***

Look up the D(E_F) of the third one. 9.9 states/eV per cell